<a>
A geometry-optimized HoZrAg structure. Source: Alexandria via LeMat-Bulk, functional PBE-GGA.

## Properties
total magnetization	0.00	Bohr magnetons per cell
D(E_F)	9.0	states/eV/cell

a b c (Å): 3.3679 3.3679 12.4753
angles (deg): 90.00 90.00 90.00
Space group I4mm (No. 107)
Inequivalent atoms, fractional coordinates:
Ho 0.0000 0.0000 0.0000 (multiplicity 2)
Zr 0.0000 0.0000 0.3193 (multiplicity 2)
Ag 0.0000 0.0000 0.6706 (multiplicity 2)

<b>
A geometry-optimized HoZrAg structure. Source: Alexandria via LeMat-Bulk, functional PBE-GGA.

## Properties
total magnetization	0.00	Bohr magnetons per cell
D(E_F)	4.3	states/eV/cell

a b c (Å): 4.9523 4.9523 3.3829
angles (deg): 90.00 90.00 120.00
Space group P3m1 (No. 156)
Inequivalent atoms, fractional coordinates:
Ho 0.0000 0.0000 0.0000 (multiplicity 1)
Zr 0.3333 0.6667 0.5376 (multiplicity 1)
Ag 0.6667 0.3333 0.3936 (multiplicity 1)

Which one sits at the top of the stability order? <a> does.

<a>
A geometry-optimized Hf3HgC structure. Source: Alexandria via LeMat-Bulk, functional PBE-GGA.

## Properties
total magnetization	0.00	Bohr magnetons per cell
D(E_F)	3.3	states/eV/cell

a b c (Å): 3.2951 4.4611 6.2905
angles (deg): 90.00 90.42 90.00
Space group P2/m (No. 10)
Inequivalent atoms, fractional coordinates:
Hf 0.0000 0.0000 0.0000 (multiplicity 1)
Hf 0.4964 0.5000 0.7564 (multiplicity 2)
Hg 0.0000 0.0000 0.5000 (multiplicity 1)
C 0.0000 0.5000 0.0000 (multiplicity 1)

<b>
A geometry-optimized Hf3HgC structure. Source: Alexandria via LeMat-Bulk, functional PBE-GGA.

## Properties
total magnetization	0.00	Bohr magnetons per cell
D(E_F)	13.7	states/eV/cell

a b c (Å): 5.4722 15.6306 5.4941
angles (deg): 90.00 90.00 90.00
Space group Cmcm (No. 63)
Inequivalent atoms, fractional coordinates:
Hf 0.0000 0.0000 0.0000 (multiplicity 4)
Hf 0.2462 0.1644 0.2500 (multiplicity 8)
Hg 0.0000 0.1670 0.7500 (multiplicity 4)
C 0.0000 0.4330 0.7500 (multiplicity 4)

Which one sits at the top of the stability order? <a> does.